The following is a PBE-GGA calculation of PrTlSn2Te4 after structural relaxation, from Alexandria.

a b c (Å): 4.579 7.990 8.004
angles (deg): 71.44 90.00 90.00
Positions (direct):
Tl 0.500 0.500 0.000
Pr 0.000 0.500 0.500
Te 0.500 0.754 0.260
Te 0.500 0.246 0.740
Te 0.000 0.239 0.268
Te 0.000 0.761 0.732
Sn 0.000 0.000 0.000
Sn 0.500 0.000 0.500

---

The following is a PBE-GGA calculation of Pr2Tl3SnTe6 after structural relaxation, from Alexandria.

a b c (Å): 4.533 9.632 10.658
angles (deg): 106.15 102.28 90.00
Positions (direct):
Te 0.005 0.233 0.011
Te 0.328 0.427 0.655
Te 0.341 0.902 0.683
Te 0.659 0.098 0.317
Te 0.672 0.573 0.345
Te 0.995 0.767 0.989
Pr 0.834 0.665 0.667
Pr 0.166 0.335 0.333
Tl 0.831 0.161 0.663
Tl 0.500 0.500 0.000
Tl 0.169 0.839 0.337
Sn 0.500 0.000 0.000

---

Taking the records one at a time from the top gives electronic total energy values of -4.0942, -4.0798 eV per atom.